! CdBr3N PBE optimized geometry; values from VASP
&SYSTEM
  ibrav = 0, nat = 5, ntyp = 3
/
ATOMIC_SPECIES
Br 79.90 Br.upf
N 14.01 N.upf
Cd 112.41 Cd.upf
ATOMIC_POSITIONS crystal
Br 0.000 0.500 0.000
Br 0.000 0.000 0.500
Br 0.500 0.000 0.000
N 0.500 0.500 0.500
Cd 0.000 0.000 0.000
CELL_PARAMETERS angstrom
5.530 0.000 0.000
0.000 5.530 0.000
0.000 0.000 5.530
! * space group: Pm-3m
! * ΔE_f (raw): 0.7884 eV per atom
! * relative energy among the computed polymorphs: 67.6 meV/atom
! * total magnetic moment: 4.00 μB/f.u.

! CdBr4N2 PBE optimized geometry; values from VASP
&SYSTEM
  ibrav = 0, nat = 7, ntyp = 3
/
ATOMIC_SPECIES
Br 79.90 Br.upf
Cd 112.41 Cd.upf
N 14.01 N.upf
ATOMIC_POSITIONS crystal
Br 0.501 0.228 0.230
Br 0.754 0.710 0.286
Br 0.246 0.290 0.714
Br 0.499 0.772 0.770
Cd 0.000 0.000 0.000
N 0.269 0.799 0.199
N 0.731 0.201 0.801
CELL_PARAMETERS angstrom
3.775 0.626 -0.770
1.224 7.552 -2.240
-1.144 -1.130 7.800
! * space group: P-1
! * ΔE_f (raw): 0.6582 eV per atom
! * total magnetic moment: 2.52 μB/f.u.

! CdBr3N PBE optimized geometry; values from VASP
&SYSTEM
  ibrav = 0, nat = 5, ntyp = 3
/
ATOMIC_SPECIES
Br 79.90 Br.upf
N 14.01 N.upf
Cd 112.41 Cd.upf
ATOMIC_POSITIONS crystal
Br 0.500 0.000 0.000
Br 0.000 0.500 0.000
Br 0.000 0.000 0.500
N 0.000 0.000 0.000
Cd 0.500 0.500 0.500
CELL_PARAMETERS angstrom
4.775 0.000 0.000
0.000 4.775 0.000
0.000 0.000 4.775
! * space group: Pm-3m
! * ΔE_f (raw): 0.7208 eV per atom
! * relative energy among the computed polymorphs: 0.0 meV/atom
! * total magnetic moment: 0.00 μB/f.u.

! CdBrN2 PBE optimized geometry; values from VASP
&SYSTEM
  ibrav = 0, nat = 4, ntyp = 3
/
ATOMIC_SPECIES
N 14.01 N.upf
Cd 112.41 Cd.upf
Br 79.90 Br.upf
ATOMIC_POSITIONS crystal
N 0.893 0.893 0.893
N 0.107 0.107 0.107
Cd 0.500 0.500 0.500
Br 0.000 0.000 0.000
CELL_PARAMETERS angstrom
2.047 0.000 6.080
-1.024 1.773 6.080
-1.024 -1.773 6.080
! * space group: R-3m
! * ΔE_f (raw): 1.3526 eV per atom
! * relative energy among the computed polymorphs: 1562.8 meV/atom
! * total magnetic moment: 0.00 μB/f.u.

! Cd2BrN2 PBE optimized geometry; values from VASP
&SYSTEM
  ibrav = 0, nat = 5, ntyp = 3
/
ATOMIC_SPECIES
N 14.01 N.upf
Cd 112.41 Cd.upf
Br 79.90 Br.upf
ATOMIC_POSITIONS crystal
N 0.414 0.414 0.421
N 0.586 0.586 0.579
Cd 0.386 0.386 0.901
Cd 0.614 0.614 0.099
Br 0.000 0.000 0.000
CELL_PARAMETERS angstrom
1.870 6.189 0.569
-1.870 6.189 0.569
0.000 6.879 7.544
! * space group: C2/m
! * ΔE_f (raw): 1.6669 eV per atom
! * total magnetic moment: 4.96 μB/f.u.

! CdBrN2 PBE optimized geometry; values from VASP
&SYSTEM
  ibrav = 0, nat = 8, ntyp = 3
/
ATOMIC_SPECIES
Cd 112.41 Cd.upf
N 14.01 N.upf
Br 79.90 Br.upf
ATOMIC_POSITIONS crystal
Cd 0.500 0.000 0.500
Cd 0.000 0.500 0.500
N 0.385 0.814 0.092
N 0.205 0.003 0.084
N 0.615 0.186 0.908
N 0.795 0.997 0.916
Br 0.065 0.856 0.658
Br 0.935 0.144 0.342
CELL_PARAMETERS angstrom
7.268 1.244 -0.292
1.515 3.498 0.816
-0.529 -0.501 12.459
! * space group: P-1
! * ΔE_f (raw): -0.2102 eV per atom
! * relative energy among the computed polymorphs: 0.0 meV/atom
! * total magnetic moment: 0.00 μB/f.u.